A relaxed BeP2WF crystal. Source: the Alexandria database, functional GGA+U.

The structure in POSCAR format:
```
BeP2WF
1.0
5.292 0.000 0.000
0.000 2.817 0.000
0.000 0.000 5.292
P Be W F
2 1 1 1
direct
0.000 0.000 0.500
0.500 0.000 0.000
0.000 0.500 0.000
0.500 0.500 0.500
0.000 0.000 0.000
```

Spin magnetization (μB/cell): 2.52
Calculated total energy (eV/atom): -4.402
Crystal system: tetragonal
DOS at the Fermi energy (states/eV/cell): 2.31